[1]
Ho3Zn8In3 | PBE-GGA | optimized geometry

crystal system	orthorhombic
DFT formation energy	-312	meV/atom
volume	19.790	A^3/atom
E_tot	-2.608	eV per atom
space group	Immm, No. 71
Fermi-level density of states	4.52	states/eV/f.u.

The structure in extended XYZ format:
```
14
Lattice="-2.1718 4.9291 6.4704 2.1718 -4.9291 6.4704 2.1718 4.9291 -6.4704" Properties=species:S:1:pos:R:3 pbc="T T T"
Ho 0.0000 0.0000 0.0000
Ho 0.0000 0.0000 3.9048
Ho 0.0000 0.0000 9.0359
Zn 2.1718 -1.2231 2.1415
Zn 2.1718 -2.3264 4.4638
Zn 2.1718 1.2231 2.1415
Zn 0.0000 2.6026 2.0066
Zn 2.1718 2.3264 4.4638
Zn 0.0000 3.7059 4.3289
Zn 0.0000 7.2555 2.0066
Zn 0.0000 6.1522 4.3289
In 2.1718 2.7912 0.0000
In 0.0000 4.9291 0.0000
In 0.0000 2.1379 6.4704
```

***

[2]
Zn3GaSb | PBE-GGA | optimized geometry

crystal system	cubic
volume	29.702	A^3/atom
E_tot	-1.616	eV per atom
space group	Pm-3m, No. 221
Fermi-level density of states	2.91	states/eV/f.u.
distance to the lowest polymorph of the same formula	0.87	eV/f.u.

The structure in extended XYZ format:
```
5
Lattice="5.2956 0.0000 0.0000 0.0000 5.2956 0.0000 0.0000 0.0000 5.2956" Properties=species:S:1:pos:R:3 pbc="T T T"
Zn 0.0000 0.0000 2.6478
Zn 0.0000 2.6478 0.0000
Zn 2.6478 0.0000 0.0000
Ga 2.6478 2.6478 2.6478
Sb 0.0000 0.0000 0.0000
```

***

[3]
Li2MnBr5 | PBE-GGA | optimized geometry

crystal system	orthorhombic
volume	31.358	A^3/atom
E_tot	-3.733	eV per atom
space group	Cmcm, No. 63
Fermi-level density of states	0.67	states/eV/f.u.
distance to the lowest polymorph of the same formula	0.11	eV/f.u.

The structure in extended XYZ format:
```
16
Lattice="2.8481 -7.5257 0.0000 2.8481 7.5257 0.0000 0.0000 0.0000 11.7040" Properties=species:S:1:pos:R:3 pbc="T T T"
Li 2.8481 4.5884 6.5744
Li 2.8481 4.5884 10.9815
Li 2.8481 -4.5884 0.7224
Li 2.8481 -4.5884 5.1295
Mn 2.8481 4.5315 2.9260
Mn 2.8481 -4.5315 8.7780
Br 2.8481 6.2554 1.2233
Br 2.8481 6.2554 4.6286
Br 2.8481 3.2936 8.7780
Br 2.8481 2.7528 1.1479
Br 2.8481 2.7528 4.7040
Br 2.8481 -2.7528 6.9999
Br 2.8481 -2.7528 10.5560
Br 2.8481 -3.2936 2.9260
Br 2.8481 -6.2554 7.0753
Br 2.8481 -6.2554 10.4806
```

***

[4]
Dy3InO | PBE-GGA | optimized geometry

crystal system	orthorhombic
volume	22.593	A^3/atom
E_tot	-5.644	eV per atom
space group	Imma, No. 74
Fermi-level density of states	2.81	states/eV/f.u.

The structure in extended XYZ format:
```
10
Lattice="-2.3520 2.3845 10.0710 2.3520 -2.3845 10.0710 2.3520 2.3845 -10.0710" Properties=species:S:1:pos:R:3 pbc="T T T"
Dy 2.3520 -1.1923 6.4954
Dy 0.0000 1.1923 1.2024
Dy 2.3520 1.1923 3.8889
Dy 0.0000 1.1923 6.1821
Dy 2.3520 1.1923 8.8687
Dy 0.0000 3.5768 3.5756
In 2.3520 1.1923 -1.3435
In 0.0000 1.1923 11.4146
O 0.0000 1.1923 3.7057
O 2.3520 1.1923 6.3653
```

***

[5]
MgFe2Ru | PBE-GGA | optimized geometry

crystal system	orthorhombic
DFT formation energy	147	meV/atom
volume	13.629	A^3/atom
E_tot	-6.802	eV per atom
space group	Imm2, No. 44
Fermi-level density of states	2.80	states/eV/f.u.

The structure in extended XYZ format:
```
8
Lattice="2.8848 0.0000 0.0000 0.0000 4.3791 0.0000 0.0000 0.0000 8.6311" Properties=species:S:1:pos:R:3 pbc="T T T"
Mg 0.0000 0.0000 0.0000
Mg 1.4424 2.1896 4.3155
Fe 0.0000 0.0000 4.2344
Fe 0.0000 2.1896 6.6005
Fe 1.4424 0.0000 2.2849
Fe 1.4424 2.1896 8.5499
Ru 0.0000 2.1896 1.9893
Ru 1.4424 0.0000 6.3049
```

***

[6]
CaPu2Ge2 | PBE-GGA | optimized geometry

crystal system	tetragonal
DFT formation energy	-420	meV/atom
volume	24.895	A^3/atom
E_tot	-8.400	eV per atom
space group	P4/mbm, No. 127
Fermi-level density of states	15.72	states/eV/f.u.

The structure in extended XYZ format:
```
10
Lattice="8.2650 0.0000 0.0000 0.0000 8.2650 0.0000 0.0000 0.0000 3.6443" Properties=species:S:1:pos:R:3 pbc="T T T"
Ca 0.0000 0.0000 0.0000
Ca 4.1325 4.1325 0.0000
Pu 1.0324 3.1001 1.8222
Pu 3.1001 7.2326 1.8222
Pu 5.1649 1.0324 1.8222
Pu 7.2326 5.1649 1.8222
Ge 1.4127 5.5452 0.0000
Ge 2.7198 1.4127 0.0000
Ge 5.5452 6.8524 0.0000
Ge 6.8524 2.7198 0.0000
```

***

[7]
RbErPb2Cl8 | PBE-GGA | optimized geometry

crystal system	monoclinic
volume	33.754	A^3/atom
E_tot	-3.970	eV per atom
space group	P2/m, No. 10
Fermi-level density of states	0.00	states/eV/f.u.

The structure in extended XYZ format:
```
12
Lattice="6.5723 0.0000 0.0000 0.0000 9.0025 0.0000 -0.1332 0.0000 6.8459" Properties=species:S:1:pos:R:3 pbc="T T T"
Rb 0.0000 0.0000 0.0000
Er 0.0000 4.5013 0.0000
Pb 3.2195 2.2627 3.4230
Pb 3.2195 6.7398 3.4230
Cl 1.4931 2.6326 1.0875
Cl 1.4931 6.3699 1.0875
Cl 1.4982 4.5013 4.7309
Cl 1.7304 0.0000 4.2682
Cl 4.7086 0.0000 2.5777
Cl 4.9409 4.5013 2.1150
Cl 4.9460 2.6326 5.7584
Cl 4.9460 6.3699 5.7584
```

***

[8]
PmGa2Pd | PBE-GGA | optimized geometry

crystal system	orthorhombic
DFT formation energy	-778	meV/atom
volume	19.517	A^3/atom
E_tot	-4.777	eV per atom
space group	Cmcm, No. 63
Fermi-level density of states	2.25	states/eV/f.u.
distance to the lowest polymorph of the same formula	0.00	eV/f.u.

The structure in extended XYZ format:
```
16
Lattice="4.5279 0.0000 0.0000 0.0000 10.3211 0.0000 0.0000 0.0000 6.6820" Properties=species:S:1:pos:R:3 pbc="T T T"
Pm 0.0000 0.9536 1.6705
Pm 0.0000 9.3674 5.0115
Pm 2.2640 4.2069 5.0115
Pm 2.2640 6.1142 1.6705
Ga 0.0000 3.8529 0.3684
Ga 0.0000 3.8529 2.9726
Ga 0.0000 6.4682 3.7094
Ga 0.0000 6.4682 6.3136
Ga 2.2640 1.3076 3.7094
Ga 2.2640 1.3076 6.3136
Ga 2.2640 9.0134 0.3684
Ga 2.2640 9.0134 2.9726
Pd 0.0000 2.0504 5.0115
Pd 0.0000 8.2706 1.6705
Pd 2.2640 3.1101 1.6705
Pd 2.2640 7.2110 5.0115
```

***

Listing calculated density for the structures above in their given order: 8.2; 4.3; 3.1; 9.1; 7.2; 9.0; 3.9; 8.3 g/cm³.